No. 1
The following is a DFT calculation (PBE) of a geometry-optimized CsRbBeSe2 structure.

```
10
Lattice="-2.864 -4.530 0.185 0.790 -0.084 10.174 -7.443 4.521 -4.502" Properties=species:S:1:pos:R:3 pbc="T T T"
Cs -4.018 0.791 5.437
Cs -5.499 -0.884 0.420
Rb -0.839 -2.328 7.723
Rb -1.234 -2.286 2.636
Be 0.000 0.000 0.000
Be 0.395 -0.042 5.087
Se -7.525 -0.211 5.701
Se -3.424 -2.817 5.361
Se -6.092 2.724 0.496
Se -1.991 0.117 0.156
```

Calculated values
Crystal system = orthorhombic
Space-group type = Cmme, No. 67
ΔE_f (raw) = -927 meV/atom



No. 2
The following is a DFT calculation (PBE) of a geometry-optimized HfSiPd2 structure.

```
8
Lattice="-0.861 0.964 -3.729 -3.511 -1.768 0.354 -5.779 7.300 1.134" Properties=species:S:1:pos:R:3 pbc="T T T"
Si -2.186 -0.402 -1.687
Si -5.738 2.565 -0.100
Hf 0.000 0.000 0.000
Hf -4.413 3.931 -2.141
Pd -2.406 2.189 -1.936
Pd -3.762 0.858 -0.028
Pd -6.037 5.142 -0.409
Pd -8.097 4.804 -2.109
```

Calculated values
Crystal system = tetragonal
Space-group type = I-42d, No. 122
ΔE_f (raw) = -428 meV/atom



No. 3
The following is a DFT calculation (PBE) of a geometry-optimized ThBeZnPt3 structure.

```
12
Lattice="-5.129 0.678 -2.013 -1.118 -6.828 0.549 -1.453 4.176 5.107" Properties=species:S:1:pos:R:3 pbc="T T T"
Th -5.039 0.960 1.680
Th -2.661 -2.934 1.964
Be -2.858 0.767 3.712
Be -4.842 -2.740 -0.069
Zn -3.747 -2.522 4.869
Zn -3.953 0.549 -1.226
Pt -2.086 0.474 1.647
Pt -0.335 -2.046 0.165
Pt -3.348 -4.443 -0.622
Pt -2.900 -1.707 -0.842
Pt -0.783 -4.782 0.385
Pt -5.614 -2.447 1.996
```

Calculated values
Crystal system = orthorhombic
Space-group type = Cmcm, No. 63
DFT formation energy = -67.1 kJ/mol of atoms



Number 1: uncorrected energy -0.126 hartree per atom, calculated volume 45.81 Å³/atom. Number 2: uncorrected energy -0.252 hartree per atom, calculated volume 17.43 Å³/atom. Number 3: uncorrected energy -0.213 hartree per atom, calculated volume 18.61 Å³/atom.